{
  "formula": "InPW2F",
  "functional": "PBE with a Hubbard U",
  "state": "relaxed",
  "vol_a3_per_atom": 30.54,
  "total_magnetization_mub_per_fu": 8.16,
  "mass_density_g_cm3": 5.79,
  "total_energy_ha_per_atom": -0.120,
  "spacegroup": "P4/mmm",
  "cell": [[5.603, 0.000, 0.000], [0.000, 5.603, 0.000], [0.000, 0.000, 4.864]],
  "species": ["In", "P", "W", "W", "F"],
  "frac_coords": [[0.000, 0.000, 0.000], [0.000, 0.000, 0.500], [0.000, 0.500, 0.000], [0.500, 0.000, 0.000], [0.500, 0.500, 0.500]]
}